No. 1
DFT (PBE) results for crystalline OsS at its relaxed geometry.

Structure (POSCAR):
```
OsS
1.0
2.949 0.000 0.000
-1.474 2.554 0.000
0.000 0.000 3.746
Os S
1 1
direct
0.000 0.000 0.000 Os
0.667 0.333 0.500 S
```

Computed properties:
Total moment   0.01 μB per formula unit
Total energy   -6.906 eV per atom
Symmetry   P-6m2
E above lowest polymorph   47.3 kJ/mol of atoms



No. 2
DFT (PBE) results for crystalline OsS at its relaxed geometry.

Structure (POSCAR):
```
OsS
1.0
2.906 0.000 0.000
-1.453 2.516 0.000
0.000 0.000 7.488
Os S
2 2
direct
0.333 0.667 0.250 Os
0.667 0.333 0.750 Os
0.000 0.000 0.000 S
0.000 0.000 0.500 S
```

Computed properties:
Total moment   0.00 μB per formula unit
Total energy   -7.194 eV per atom
Symmetry   P6_3/mmc
E above lowest polymorph   19.5 kJ/mol of atoms



No. 3
DFT (PBE) results for crystalline OsS2 at its relaxed geometry.

Structure (POSCAR):
```
OsS2
1.0
1.680 0.970 5.888
-1.680 0.970 5.888
0.000 -1.940 5.888
Os S
1 2
direct
0.000 0.000 0.000 Os
0.588 0.588 0.588 S
0.746 0.746 0.746 S
```

Computed properties:
Total moment   0.00 μB per formula unit
Total energy   -6.412 eV per atom
Symmetry   R3m



No. 4
DFT (PBE) results for crystalline OsS4 at its relaxed geometry.

Structure (POSCAR):
```
OsS4
1.0
5.567 -2.614 0.000
5.567 2.614 0.000
-4.578 0.000 8.849
Os S
2 8
direct
0.241 0.759 0.750 Os
0.759 0.241 0.250 Os
0.117 0.135 0.437 S
0.135 0.117 0.937 S
0.350 0.405 0.814 S
0.405 0.350 0.314 S
0.595 0.650 0.686 S
0.650 0.595 0.186 S
0.865 0.883 0.063 S
0.883 0.865 0.563 S
```

Computed properties:
Total moment   0.01 μB per formula unit
Total energy   -5.361 eV per atom
Symmetry   C2/c



No. 5
DFT (PBE) results for crystalline OsS2 at its relaxed geometry.

Structure (POSCAR):
```
OsS2
1.0
1.738 1.004 10.960
-1.738 1.004 10.960
0.000 -2.007 10.960
Os S
2 4
direct
0.082 0.082 0.082 Os
0.918 0.918 0.918 Os
0.212 0.212 0.212 S
0.376 0.376 0.376 S
0.624 0.624 0.624 S
0.788 0.788 0.788 S
```

Computed properties:
Total moment   0.73 μB per formula unit
Total energy   -6.494 eV per atom
Symmetry   R-3m



No. 6
DFT (PBE) results for crystalline OsS at its relaxed geometry.

Structure (POSCAR):
```
OsS
1.0
3.529 0.000 0.000
-1.764 3.056 0.000
0.000 0.000 5.465
Os S
2 2
direct
0.000 0.000 0.000 Os
0.000 0.000 0.500 Os
0.333 0.667 0.250 S
0.667 0.333 0.750 S
```

Computed properties:
Total moment   0.00 μB per formula unit
Total energy   -7.152 eV per atom
Symmetry   P6_3/mmc
E above lowest polymorph   23.6 kJ/mol of atoms